The following is a PBE with a Hubbard U calculation of a relaxed Hf2NiO2 crystal, from the Alexandria database.

E_tot (eV per cell): -31.50
Space group: No. 123
N(E_F) (states/eV/f.u.): 2.054
Calculated volume (Å³ per atom): 14.7
Spin magnetization (μB per formula unit): 0.90

```
Hf2NiO2
1.0
3.997 0.000 0.000
0.000 3.997 0.000
0.000 0.000 4.603
Hf O Ni
2 2 1
direct
0.500 0.500 0.500
0.000 0.000 0.500
0.500 0.000 0.000
0.000 0.500 0.000
0.000 0.000 0.000
```